Entry 1:
## Na3FeH (PBEsol)

Data for crystalline Na3FeH at its relaxed geometry.

CIF file:
```
data_Na3FeH
_cell_length_a 4.663
_cell_length_b 4.663
_cell_length_c 4.663
_cell_angle_alpha 90.00
_cell_angle_beta 90.00
_cell_angle_gamma 90.00
_space_group_name_H-M_alt 'P m -3 m'
_space_group_IT_number 221
_space_group_name_Hall '-P 4 2 3'
loop_
_atom_site_label
_atom_site_fract_x
_atom_site_fract_y
_atom_site_fract_z
Na1 0.000 0.000 0.500
Fe1 0.500 0.500 0.500
H1 0.000 0.000 0.000
```

Summary:
Electronic total energy in eV per atom: -2.6317
Total magnetization in μB per cell: 3.01
Mass density in kg/m³: 2060
V in Å³/f.u.: 101.4
Crystal system: cubic

Entry 2:
## NaFe3H6S2O14 (PBEsol)

Data for crystalline NaFe3H6S2O14 at its relaxed geometry.

CIF file:
```
data_NaFe3H6S2O14
_cell_length_a 7.1651
_cell_length_b 7.1651
_cell_length_c 16.6291
_cell_angle_alpha 90.00
_cell_angle_beta 90.00
_cell_angle_gamma 120.00
_space_group_name_H-M_alt 'R -3 m'
_space_group_IT_number 166
_space_group_name_Hall '-R 3 2"'
loop_
_atom_site_label
_atom_site_fract_x
_atom_site_fract_y
_atom_site_fract_z
Na1 0.0000 0.0000 0.0000
Fe1 0.0000 0.5000 0.5000
H1 0.0695 0.5348 0.2231
S1 0.0000 0.0000 0.3144
O1 0.0000 0.0000 0.4042
O2 0.0780 0.5390 0.8012
O3 0.1066 0.5533 0.3809
```

Summary:
Electronic total energy in eV per atom: -6.2830
Total magnetization in μB per cell: 38.43
Mass density in kg/m³: 3266
V in Å³/f.u.: 246.4
Crystal system: trigonal

Entry 3:
## NaFe2H3S2O8 (PBEsol)

Data for crystalline NaFe2H3S2O8 at its relaxed geometry.

CIF file:
```
data_NaFe2H3S2O8
_cell_length_a 6.220
_cell_length_b 7.770
_cell_length_c 8.417
_cell_angle_alpha 114.11
_cell_angle_beta 92.51
_cell_angle_gamma 111.92
_space_group_name_H-M_alt 'P -1'
_space_group_IT_number 2
_space_group_name_Hall '-P 1'
loop_
_atom_site_label
_atom_site_fract_x
_atom_site_fract_y
_atom_site_fract_z
Na1 0.179 0.270 0.073
Fe1 0.000 0.500 0.500
Fe2 0.486 0.970 0.834
Fe3 0.500 0.500 0.500
H1 0.219 0.728 0.273
H2 0.401 0.786 0.504
H3 0.483 0.742 0.283
S1 0.069 0.066 0.312
S2 0.281 0.510 0.840
O1 0.041 0.455 0.729
O2 0.165 0.310 0.368
O3 0.168 0.991 0.143
O4 0.193 0.020 0.770
O5 0.374 0.714 0.580
O6 0.391 0.827 0.302
O7 0.411 0.752 0.930
O8 0.433 0.442 0.708
```

Summary:
Electronic total energy in eV per atom: -6.1394
Total magnetization in μB per cell: 12.00
Mass density in kg/m³: 3269
V in Å³/f.u.: 167.5
Crystal system: triclinic

Entry 4:
## Na2FeH4S2O10 (PBEsol)

Data for crystalline Na2FeH4S2O10 at its relaxed geometry.

CIF file:
```
data_Na2FeH4S2O10
_cell_length_a 5.709
_cell_length_b 12.844
_cell_length_c 5.447
_cell_angle_alpha 90.00
_cell_angle_beta 106.52
_cell_angle_gamma 90.00
_space_group_name_H-M_alt 'P 1 21/c 1'
_space_group_IT_number 14
_space_group_name_Hall '-P 2ybc'
loop_
_atom_site_label
_atom_site_fract_x
_atom_site_fract_y
_atom_site_fract_z
Na1 0.078 0.117 0.251
Fe1 0.500 0.000 0.000
H1 0.180 0.152 0.809
H2 0.415 0.205 0.001
S1 0.274 0.618 0.924
O1 0.065 0.691 0.902
O2 0.233 0.561 0.674
O3 0.270 0.540 0.128
O4 0.318 0.138 0.968
O5 0.492 0.174 0.511
```

Summary:
Electronic total energy in eV per atom: -5.9537
Total magnetization in μB per cell: 8.00
Mass density in kg/m³: 2862
V in Å³/f.u.: 191.5
Crystal system: monoclinic

Entry 5:
## NbFe2H (PBEsol)

Data for crystalline NbFe2H at its relaxed geometry.

CIF file:
```
data_NbFe2H
_cell_length_a 5.615
_cell_length_b 5.615
_cell_length_c 5.615
_cell_angle_alpha 90.00
_cell_angle_beta 90.00
_cell_angle_gamma 90.00
_space_group_name_H-M_alt 'F m -3 m'
_space_group_IT_number 225
_space_group_name_Hall '-F 4 2 3'
loop_
_atom_site_label
_atom_site_fract_x
_atom_site_fract_y
_atom_site_fract_z
Nb1 0.000 0.000 0.000
Fe1 0.250 0.250 0.250
H1 0.000 0.000 0.500
```

Summary:
Electronic total energy in eV per atom: -7.3378
Total magnetization in μB per cell: 6.45
Mass density in kg/m³: 7714
V in Å³/f.u.: 44.3
Crystal system: cubic

Entry 6:
## Nb2FeH2 (PBEsol)

Data for crystalline Nb2FeH2 at its relaxed geometry.

CIF file:
```
data_Nb2FeH2
_cell_length_a 2.972
_cell_length_b 2.972
_cell_length_c 11.631
_cell_angle_alpha 90.00
_cell_angle_beta 90.00
_cell_angle_gamma 90.00
_space_group_name_H-M_alt 'I 4/m m m'
_space_group_IT_number 139
_space_group_name_Hall '-I 4 2'
loop_
_atom_site_label
_atom_site_fract_x
_atom_site_fract_y
_atom_site_fract_z
Nb1 0.000 0.000 0.135
Fe1 0.000 0.000 0.500
H1 0.000 0.500 0.250
```

Summary:
Electronic total energy in eV per atom: -7.5964
Total magnetization in μB per cell: 2.32
Mass density in kg/m³: 7878
V in Å³/f.u.: 51.4
Crystal system: tetragonal

Entry 7:
## FeNiH2 (PBEsol)

Data for crystalline FeNiH2 at its relaxed geometry.

CIF file:
```
data_FeNiH2
_cell_length_a 3.822
_cell_length_b 3.822
_cell_length_c 7.536
_cell_angle_alpha 90.00
_cell_angle_beta 90.00
_cell_angle_gamma 90.00
_space_group_name_H-M_alt 'I -4 2 d'
_space_group_IT_number 122
_space_group_name_Hall 'I -4 2bw'
loop_
_atom_site_label
_atom_site_fract_x
_atom_site_fract_y
_atom_site_fract_z
Fe1 0.000 0.000 0.000
Ni1 0.000 0.000 0.500
H1 0.238 0.250 0.625
```

Summary:
Electronic total energy in eV per atom: -5.4196
Total magnetization in μB per cell: 9.67
Mass density in kg/m³: 7032
V in Å³/f.u.: 27.5
Crystal system: tetragonal

Entry 8:
## TaFe2NiH (PBEsol)

Data for crystalline TaFe2NiH at its relaxed geometry.

CIF file:
```
data_TaFe2NiH
_cell_length_a 4.259
_cell_length_b 4.259
_cell_length_c 4.514
_cell_angle_alpha 90.00
_cell_angle_beta 90.00
_cell_angle_gamma 90.00
_space_group_name_H-M_alt 'P 4/m m m'
_space_group_IT_number 123
_space_group_name_Hall '-P 4 2'
loop_
_atom_site_label
_atom_site_fract_x
_atom_site_fract_y
_atom_site_fract_z
Ta1 0.000 0.000 0.000
Fe1 0.000 0.500 0.500
Ni1 0.000 0.000 0.500
H1 0.500 0.500 0.000
```

Summary:
Electronic total energy in eV per atom: -6.3531
Total magnetization in μB per cell: 5.94
Mass density in kg/m³: 7145
V in Å³/f.u.: 81.9
Crystal system: tetragonal

Entry 9:
## FeHO2 (PBEsol)

Data for crystalline FeHO2 at its relaxed geometry.

CIF file:
```
data_FeHO2
_cell_length_a 2.8411
_cell_length_b 2.8411
_cell_length_c 4.4273
_cell_angle_alpha 90.00
_cell_angle_beta 90.00
_cell_angle_gamma 120.00
_space_group_name_H-M_alt 'P 3 m 1'
_space_group_IT_number 156
_space_group_name_Hall 'P 3 -2"'
loop_
_atom_site_label
_atom_site_fract_x
_atom_site_fract_y
_atom_site_fract_z
Fe1 0.0000 0.0000 0.0000
H1 0.6667 0.3333 0.5429
O1 0.3333 0.6667 0.2060
O2 0.6667 0.3333 0.7667
```

Summary:
Electronic total energy in eV per atom: -6.7671
Total magnetization in μB per cell: 1.00
Mass density in kg/m³: 4767
V in Å³/f.u.: 30.9
Crystal system: trigonal